# Ac2Tb3Ho6

Ac2Tb3Ho6 after structural relaxation (PBE-GGA, Alexandria via LeMat-Bulk).

a = 6.1854 Å, b = 6.1854 Å, c = 11.9578 Å
α = 94.95°, β = 94.95°, γ = 120.03°
Element x y z (fractional)
Ac  0.1669  0.8331  0.0000
Ac  0.8331  0.1669  0.0000
Tb  0.0000  0.0000  0.5000
Tb  0.3352  0.6648  0.5000
Tb  0.6648  0.3352  0.5000
Ho  0.0806  0.4133  0.7401
Ho  0.2541  0.2541  0.2598
Ho  0.4133  0.0806  0.7401
Ho  0.5867  0.9194  0.2599
Ho  0.7459  0.7459  0.7402
Ho  0.9194  0.5867  0.2599

raw total energy	-4.32	eV/atom
DFT formation energy	190.0	meV per atom
M_tot	0.00	μB per formula unit
N(E_F)	16.54	states/eV/f.u.
space group	C2/m, No. 12